Entry 1:
Material: YV2BiO8
Method: DFT, GGA-PBEsol
State: relaxed

Cell lengths 5.997, 5.997, 5.997 Å; angles 106.13, 106.13, 116.39 degrees
Fractional coordinates of all 12 atoms:
Y 0.750 0.250 0.500
V 0.250 0.750 0.500
V 0.500 0.500 0.000
Bi 0.000 0.000 0.000
O 0.073 0.753 0.680
O 0.516 0.330 0.186
O 0.144 0.330 0.814
O 0.073 0.393 0.320
O 0.670 0.484 0.814
O 0.247 0.927 0.320
O 0.607 0.927 0.680
O 0.670 0.856 0.186

Output
SG: I-4m2, No. 119
formation energy (no corrections): -57.996 kcal/mol of atoms

Entry 2:
Material: Bi3BrF
Method: DFT, GGA-PBEsol
State: relaxed

Cell lengths 5.076, 5.076, 5.076 Å; angles 90.00, 90.00, 90.00 degrees
Fractional coordinates of all 5 atoms:
Bi 0.000 0.500 0.000
Bi 0.000 0.000 0.500
Bi 0.500 0.000 0.000
Br 0.500 0.500 0.500
F 0.000 0.000 0.000

Output
SG: Pm-3m, No. 221
formation energy (no corrections): -3.707 kcal/mol of atoms

Entry 3:
Material: NaPbSe2Br
Method: DFT, GGA-PBEsol
State: relaxed

Cell lengths 5.028, 5.028, 5.346 Å; angles 90.00, 90.00, 90.00 degrees
Fractional coordinates of all 5 atoms:
Pb 0.500 0.500 0.500
Na 0.000 0.000 0.000
Se 0.000 0.500 0.000
Se 0.500 0.000 0.000
Br 0.000 0.000 0.500

Output
SG: P4/mmm, No. 123
formation energy (no corrections): 0.356 kcal/mol of atoms

Entry 4:
Material: CaTcNi2N
Method: DFT, GGA-PBEsol
State: relaxed

Cell lengths 4.097, 4.374, 4.374 Å; angles 90.00, 90.00, 90.00 degrees
Each line ends with the local moment (μB).
Fractional coordinates of all 5 atoms:
Ni 0.000 0.000 0.500  0.43
Ni 0.000 0.500 0.000  0.43
Ca 0.000 0.000 0.000  -0.06
Tc 0.500 0.500 0.500  2.85
N 0.500 0.000 0.000  -0.34

Output
SG: P4/mmm, No. 123
formation energy (no corrections): 49.376 kcal/mol of atoms

Entry 5:
Material: YCr2Ru2
Method: DFT, GGA-PBEsol
State: relaxed

Cell lengths 4.136, 4.136, 5.484 Å; angles 112.15, 112.15, 90.00 degrees
Fractional coordinates of all 5 atoms:
Cr 0.620 0.620 0.241
Cr 0.380 0.380 0.759
Ru 0.250 0.750 0.500
Ru 0.750 0.250 0.500
Y 0.000 0.000 0.000

Output
SG: I4/mmm, No. 139
ΔH_f (0 K): 0.039 eV per atom

Entry 6:
Material: ScAlTc2
Method: DFT, GGA-PBEsol
State: relaxed

Cell lengths 2.989, 2.989, 7.141 Å; angles 90.00, 90.00, 90.00 degrees
Fractional coordinates of all 4 atoms:
Sc 0.500 0.500 0.763
Tc 0.000 0.000 0.036
Tc 0.500 0.500 0.239
Al 0.000 0.000 0.462

Output
energy relative to the lowest polymorph listed for this composition: 0.00 kcal/mol of atoms
SG: P4mm, No. 99
ΔH_f (0 K): -0.289 eV per atom

Entry 7:
Material: AsRh2W
Method: DFT, GGA-PBEsol
State: relaxed

Cell lengths 3.172, 4.217, 4.986 Å; angles 115.02, 108.55, 90.00 degrees
Fractional coordinates of all 4 atoms:
As 0.000 0.500 0.000
Rh 0.726 0.726 0.453
Rh 0.274 0.274 0.547
W 0.500 0.000 0.000

Output
SG: Immm, No. 71
ΔH_f (0 K): -0.095 eV per atom

Entry 8:
Material: MnGaO2F
Method: DFT, GGA-PBEsol
State: relaxed

Cell lengths 3.762, 3.762, 3.902 Å; angles 90.00, 90.00, 90.00 degrees
Each line ends with the local moment (μB).
Fractional coordinates of all 5 atoms:
Mn 0.000 0.000 0.000  3.09
O 0.000 0.500 0.000  -0.01
O 0.500 0.000 0.000  -0.01
Ga 0.500 0.500 0.500  -0.13
F 0.000 0.000 0.500  0.02

Output
SG: P4/mmm, No. 123
formation energy (no corrections): -30.843 kcal/mol of atoms